1.
Density functional theory data (PBE-GGA) for Nd8Si3PdI4 after structural relaxation.

The structure in CIF format:
```
data_Nd8Si3PdI4
_cell_length_a 8.667
_cell_length_b 9.167
_cell_length_c 8.667
_cell_angle_alpha 118.21
_cell_angle_beta 120.00
_cell_angle_gamma 90.00
_space_group_name_H-M_alt 'P 1'
_space_group_IT_number 1
_space_group_name_Hall 'P 1'
loop_
_atom_site_label
_atom_site_fract_x
_atom_site_fract_y
_atom_site_fract_z
_atom_site_occupancy
Nd1 0.233 0.698 0.965 1
Nd2 0.233 0.698 0.467 1
Nd3 0.267 0.301 0.534 1
Nd4 0.731 0.698 0.965 1
Nd5 0.269 0.302 0.035 1
Nd6 0.733 0.699 0.466 1
Nd7 0.767 0.302 0.533 1
Nd8 0.767 0.302 0.035 1
Si1 0.500 0.500 0.000 1
Si2 0.500 0.500 0.500 1
Si3 0.000 0.500 0.500 1
Pd1 0.000 0.500 0.000 1
I1 0.500 0.000 0.000 1
I2 0.500 0.000 0.500 1
I3 0.000 0.000 0.000 1
I4 0.000 0.000 0.500 1
```

ΔE_f (raw) = -899 meV/atom

2.
Density functional theory data (PBE-GGA) for LiTm2ReO6 after structural relaxation.

The structure in CIF format:
```
data_LiTm2ReO6
_cell_length_a 5.465
_cell_length_b 5.465
_cell_length_c 5.868
_cell_angle_alpha 62.25
_cell_angle_beta 62.25
_cell_angle_gamma 60.00
_space_group_name_H-M_alt 'P 1'
_space_group_IT_number 1
_space_group_name_Hall 'P 1'
loop_
_atom_site_label
_atom_site_fract_x
_atom_site_fract_y
_atom_site_fract_z
_atom_site_occupancy
Li1 0.785 0.785 0.644 1
Tm1 0.526 0.526 0.422 1
Tm2 0.020 0.019 0.942 1
Re1 0.324 0.324 0.027 1
O1 0.579 0.230 0.230 1
O2 0.230 0.961 0.230 1
O3 0.961 0.579 0.230 1
O4 0.425 0.691 0.764 1
O5 0.691 0.120 0.764 1
O6 0.121 0.425 0.764 1
```

ΔE_f (raw) = -2600 meV/atom

3.
Density functional theory data (PBE-GGA) for BSb2IrW after structural relaxation.

The structure in CIF format:
```
data_BSb2IrW
_cell_length_a 5.207
_cell_length_b 4.091
_cell_length_c 5.207
_cell_angle_alpha 90.00
_cell_angle_beta 90.00
_cell_angle_gamma 90.00
_space_group_name_H-M_alt 'P 1'
_space_group_IT_number 1
_space_group_name_Hall 'P 1'
loop_
_atom_site_label
_atom_site_fract_x
_atom_site_fract_y
_atom_site_fract_z
_atom_site_occupancy
Sb1 0.000 0.000 0.500 1
Sb2 0.500 0.000 0.000 1
B1 0.000 0.500 0.000 1
Ir1 0.500 0.500 0.500 1
W1 0.000 0.000 0.000 1
```

ΔE_f (raw) = 1421 meV/atom

4.
Density functional theory data (PBE-GGA) for K2MoBr after structural relaxation.

The structure in CIF format:
```
data_K2MoBr
_cell_length_a 4.317
_cell_length_b 4.317
_cell_length_c 10.151
_cell_angle_alpha 90.00
_cell_angle_beta 90.00
_cell_angle_gamma 90.00
_space_group_name_H-M_alt 'P 1'
_space_group_IT_number 1
_space_group_name_Hall 'P 1'
loop_
_atom_site_label
_atom_site_fract_x
_atom_site_fract_y
_atom_site_fract_z
_atom_site_occupancy
Br1 0.500 0.500 0.941 1
K1 0.000 0.000 0.833 1
K2 0.500 0.500 0.259 1
Mo1 0.000 0.000 0.467 1
```

ΔE_f (raw) = 448 meV/atom

5.
Density functional theory data (PBE-GGA) for KLi3Si12Sn2O30 after structural relaxation.

The structure in CIF format:
```
data_KLi3Si12Sn2O30
_cell_length_a 10.157
_cell_length_b 10.157
_cell_length_c 14.510
_cell_angle_alpha 90.00
_cell_angle_beta 90.00
_cell_angle_gamma 120.00
_space_group_name_H-M_alt 'P 1'
_space_group_IT_number 1
_space_group_name_Hall 'P 1'
loop_
_atom_site_label
_atom_site_fract_x
_atom_site_fract_y
_atom_site_fract_z
_atom_site_occupancy
K1 0.000 0.000 0.750 1
K2 0.000 0.000 0.250 1
Li1 0.500 0.500 0.750 1
Li2 0.000 0.500 0.250 1
Li3 0.500 0.000 0.250 1
Li4 0.500 0.500 0.250 1
Li5 0.000 0.500 0.750 1
Li6 0.500 0.000 0.750 1
Si1 0.882 0.238 0.109 1
Si2 0.356 0.118 0.109 1
Si3 0.762 0.644 0.109 1
Si4 0.238 0.356 0.109 1
Si5 0.644 0.762 0.391 1
Si6 0.118 0.762 0.109 1
Si7 0.644 0.882 0.109 1
Si8 0.762 0.118 0.391 1
Si9 0.882 0.644 0.391 1
Si10 0.118 0.356 0.391 1
Si11 0.238 0.882 0.391 1
Si12 0.356 0.238 0.391 1
Si13 0.118 0.762 0.891 1
Si14 0.644 0.882 0.891 1
Si15 0.238 0.356 0.891 1
Si16 0.644 0.762 0.609 1
Si17 0.356 0.238 0.609 1
Si18 0.882 0.238 0.891 1
Si19 0.356 0.118 0.891 1
Si20 0.238 0.882 0.609 1
Si21 0.118 0.356 0.609 1
Si22 0.882 0.644 0.609 1
Si23 0.762 0.118 0.609 1
Si24 0.762 0.644 0.891 1
Sn1 0.333 0.667 0.750 1
Sn2 0.667 0.333 0.750 1
Sn3 0.667 0.333 0.250 1
Sn4 0.333 0.667 0.250 1
O1 0.721 0.778 0.867 1
O2 0.343 0.842 0.327 1
O3 0.499 0.842 0.173 1
O4 0.158 0.501 0.327 1
O5 0.842 0.499 0.327 1
O6 0.501 0.343 0.327 1
O7 0.499 0.657 0.327 1
O8 0.842 0.343 0.173 1
O9 0.657 0.499 0.173 1
O10 0.343 0.501 0.173 1
O11 0.158 0.657 0.173 1
O12 0.501 0.158 0.173 1
O13 0.343 0.842 0.673 1
O14 0.499 0.657 0.673 1
O15 0.158 0.501 0.673 1
O16 0.842 0.499 0.673 1
O17 0.501 0.158 0.827 1
O18 0.657 0.158 0.673 1
O19 0.501 0.343 0.673 1
O20 0.158 0.657 0.827 1
O21 0.343 0.501 0.827 1
O22 0.657 0.499 0.827 1
O23 0.842 0.343 0.827 1
O24 0.721 0.944 0.367 1
O25 0.944 0.222 0.367 1
O26 0.279 0.056 0.367 1
O27 0.778 0.721 0.367 1
O28 0.222 0.279 0.367 1
O29 0.721 0.778 0.133 1
O30 0.056 0.778 0.367 1
O31 0.599 0.867 0.000 1
O32 0.867 0.267 0.000 1
O33 0.733 0.599 0.000 1
O34 0.267 0.401 0.000 1
O35 0.133 0.733 0.000 1
O36 0.401 0.267 0.500 1
O37 0.733 0.133 0.500 1
O38 0.401 0.133 0.000 1
O39 0.867 0.599 0.500 1
O40 0.133 0.401 0.500 1
O41 0.599 0.733 0.500 1
O42 0.267 0.867 0.500 1
O43 0.657 0.158 0.327 1
O44 0.778 0.056 0.867 1
O45 0.944 0.721 0.867 1
O46 0.056 0.279 0.867 1
O47 0.222 0.944 0.867 1
O48 0.279 0.056 0.633 1
O49 0.944 0.222 0.633 1
O50 0.279 0.222 0.867 1
O51 0.778 0.721 0.633 1
O52 0.222 0.279 0.633 1
O53 0.721 0.944 0.633 1
O54 0.056 0.778 0.633 1
O55 0.279 0.222 0.133 1
O56 0.222 0.944 0.133 1
O57 0.056 0.279 0.133 1
O58 0.944 0.721 0.133 1
O59 0.778 0.056 0.133 1
O60 0.499 0.842 0.827 1
```

ΔE_f (raw) = -2601 meV/atom

6.
Density functional theory data (PBE-GGA) for Sm2GaSi after structural relaxation.

The structure in CIF format:
```
data_Sm2GaSi
_cell_length_a 4.021
_cell_length_b 5.934
_cell_length_c 8.811
_cell_angle_alpha 111.80
_cell_angle_beta 90.00
_cell_angle_gamma 90.00
_space_group_name_H-M_alt 'P 1'
_space_group_IT_number 1
_space_group_name_Hall 'P 1'
loop_
_atom_site_label
_atom_site_fract_x
_atom_site_fract_y
_atom_site_fract_z
_atom_site_occupancy
Sm1 0.750 0.221 0.428 1
Sm2 0.250 0.779 0.572 1
Sm3 0.250 0.784 0.069 1
Sm4 0.750 0.216 0.931 1
Ga1 0.750 0.647 0.286 1
Ga2 0.250 0.353 0.714 1
Si1 0.250 0.355 0.213 1
Si2 0.750 0.645 0.787 1
```

ΔE_f (raw) = -723 meV/atom

7.
Density functional theory data (PBE-GGA) for ZnOsRu2 after structural relaxation.

The structure in CIF format:
```
data_ZnOsRu2
_cell_length_a 2.696
_cell_length_b 2.696
_cell_length_c 9.037
_cell_angle_alpha 90.00
_cell_angle_beta 90.00
_cell_angle_gamma 118.12
_space_group_name_H-M_alt 'P 1'
_space_group_IT_number 1
_space_group_name_Hall 'P 1'
loop_
_atom_site_label
_atom_site_fract_x
_atom_site_fract_y
_atom_site_fract_z
_atom_site_occupancy
Os1 0.500 0.500 0.750 1
Ru1 0.000 0.000 0.001 1
Ru2 0.000 0.000 0.499 1
Zn1 0.500 0.500 0.250 1
```

calculated formation energy = 1.5 eV/f.u.

8.
Density functional theory data (PBE-GGA) for Hf3ZnPd after structural relaxation.

The structure in CIF format:
```
data_Hf3ZnPd
_cell_length_a 4.998
_cell_length_b 4.998
_cell_length_c 4.998
_cell_angle_alpha 90.00
_cell_angle_beta 90.00
_cell_angle_gamma 90.00
_space_group_name_H-M_alt 'P 1'
_space_group_IT_number 1
_space_group_name_Hall 'P 1'
loop_
_atom_site_label
_atom_site_fract_x
_atom_site_fract_y
_atom_site_fract_z
_atom_site_occupancy
Zn1 0.500 0.500 0.500 1
Hf1 0.000 0.500 0.000 1
Hf2 0.000 0.000 0.500 1
Hf3 0.500 0.000 0.000 1
Pd1 0.000 0.000 0.000 1
```

calculated formation energy = 2.8 eV/f.u.